# 1
Computed, not measured: an optimized crystal structure of TbNd2Sm5Th at the PBE level of DFT.

Cell lengths 5.713, 20.541, 10.571 Å; angles 90.00, 90.00, 90.00 degrees
Space group Cmc2_1 (No. 36)
Unique sites:
Tb  0.000  0.093  0.000 [4 per cell]
Nd  0.000  0.384  0.724 [4 per cell]
Nd  0.000  0.385  0.137 [4 per cell]
Sm  0.000  0.020  0.713 [4 per cell]
Sm  0.000  0.112  0.429 [4 per cell]
Sm  0.000  0.204  0.749 [4 per cell]
Sm  0.000  0.225  0.139 [4 per cell]
Sm  0.000  0.484  0.435 [4 per cell]
Th  0.000  0.302  0.441 [4 per cell]

## Properties
formation energy = 151.2 meV per atom
total DFT energy (no corrections) = -0.179 hartree per atom
size of the total moment = 0.000 Bohr magnetons per cell

---

# 2
Computed, not measured: an optimized crystal structure of Tb5Nd2SmTh at the PBE level of DFT.

Cell lengths 5.767, 21.556, 9.907 Å; angles 90.00, 90.00, 90.00 degrees
Space group Cmc2_1 (No. 36)
Unique sites:
Tb  0.000  0.015  0.000 [4 per cell]
Tb  0.000  0.273  0.308 [4 per cell]
Tb  0.000  0.305  0.696 [4 per cell]
Tb  0.000  0.399  0.023 [4 per cell]
Tb  0.000  0.469  0.723 [4 per cell]
Nd  0.000  0.116  0.313 [4 per cell]
Nd  0.000  0.128  0.696 [4 per cell]
Sm  0.000  0.191  0.000 [4 per cell]
Th  0.000  0.407  0.408 [4 per cell]

## Properties
formation energy = 158.9 meV per atom
total DFT energy (no corrections) = -0.177 hartree per atom
size of the total moment = 0.000 Bohr magnetons per cell

---

# 3
Computed, not measured: an optimized crystal structure of Tb2Nd6Sm3Tl at the PBE level of DFT.

Cell lengths 6.257, 10.873, 11.907 Å; angles 90.00, 100.29, 90.00 degrees
Space group C2/m (No. 12)
Unique sites:
Tb  0.000  0.166  0.000 [4 per cell]
Nd  0.245  0.336  0.246 [8 per cell]
Nd  0.245  0.500  0.753 [4 per cell]
Sm  0.000  0.000  0.500 [2 per cell]
Sm  0.000  0.332  0.500 [4 per cell]
Tl  0.000  0.500  0.000 [2 per cell]

## Properties
formation energy = -13.0 meV per atom
total DFT energy (no corrections) = -0.167 hartree per atom
size of the total moment = 0.000 Bohr magnetons per cell

---

# 4
Computed, not measured: an optimized crystal structure of TbNdSm2Tl4 at the PBE level of DFT.

Cell lengths 5.4567, 5.4567, 26.7746 Å; angles 90.00, 90.00, 120.00 degrees
Space group R-3m (No. 166, hexagonal axes)
Unique sites:
Tb  0.0000  0.0000  0.0000 [3 per cell]
Nd  0.0000  0.0000  0.5000 [3 per cell]
Sm  0.0000  0.0000  0.2504 [6 per cell]
Tl  0.0000  0.0000  0.1238 [6 per cell]
Tl  0.0000  0.0000  0.3739 [6 per cell]

## Properties
formation energy = -371.4 meV per atom
total DFT energy (no corrections) = -0.144 hartree per atom
size of the total moment = 0.000 Bohr magnetons per cell

---

# 5
Computed, not measured: an optimized crystal structure of TbNdSmTl at the PBE level of DFT.

Cell lengths 7.881, 7.881, 7.881 Å; angles 90.00, 90.00, 90.00 degrees
Space group F-43m (No. 216)
Unique sites:
Tb  0.000  0.000  0.000 [4 per cell]
Nd  0.250  0.250  0.750 [4 per cell]
Sm  0.250  0.250  0.250 [4 per cell]
Tl  0.000  0.000  0.500 [4 per cell]

## Properties
formation energy = -57.2 meV per atom
energy above the most stable polymorph in this dataset = 136 meV/atom
total DFT energy (no corrections) = -0.154 hartree per atom
size of the total moment = 5.559 Bohr magnetons per cell

---

# 6
Computed, not measured: an optimized crystal structure of Tb3Nd2Sm6Tl at the PBE level of DFT.

Cell lengths 6.191, 10.744, 11.889 Å; angles 90.00, 100.09, 90.00 degrees
Space group C2/m (No. 12)
Unique sites:
Tb  0.000  0.000  0.000 [2 per cell]
Tb  0.000  0.333  0.000 [4 per cell]
Nd  0.000  0.166  0.500 [4 per cell]
Sm  0.243  0.500  0.248 [4 per cell]
Sm  0.247  0.337  0.750 [8 per cell]
Tl  0.000  0.500  0.500 [2 per cell]

## Properties
formation energy = -28.3 meV per atom
total DFT energy (no corrections) = -0.167 hartree per atom
size of the total moment = 0.000 Bohr magnetons per cell